VASP calculation (GGA+U) on MoAsF2 after structural relaxation.

Summary:
- space group = R-3m, No. 166
- DFT total energy (eV per atom) = -4.50
- total moment (μB/f.u.) = 1.298

Lattice parameters (Å, degrees): 10.1648 10.1648 10.1648 16.33 16.33 16.33
Last column: nearest neighbours and their distance in Å.
Positions (direct):
Mo: 0.0000 0.0000 0.0000  2 F 1.90
As: 0.5000 0.5000 0.5000  6 As 2.89
F: 0.0632 0.0632 0.0632  1 Mo 1.90
F: 0.9368 0.9368 0.9368  1 Mo 1.90